# 1
Computed, not measured: a relaxed TbCoAu crystal at the GGA-PBE level of DFT.

## Properties
E: -65.2 eV for the cell shown
ΔH_f (0 K): -0.4315 eV/atom
ρ: 11.7 g cm⁻³

The structure in CIF format:
```
data_TbCoAu
_symmetry_space_group_name_H-M 'C 1 2/m 1'
_symmetry_Int_Tables_number 12
_cell_length_a 12.3775
_cell_length_b 3.9524
_cell_length_c 4.9048
_cell_angle_alpha 90.00
_cell_angle_beta 101.80
_cell_angle_gamma 90.00
loop_
_symmetry_equiv_pos_as_xyz
'x,y,z'
'-x,-y,-z'
'-x,y,-z'
'x,-y,z'
'x+1/2,y+1/2,z'
'-x+1/2,-y+1/2,-z'
'-x+1/2,y+1/2,-z'
'x+1/2,-y+1/2,z'
loop_
_atom_site_label
_atom_site_type_symbol
_atom_site_fract_x
_atom_site_fract_y
_atom_site_fract_z
_atom_site_occupancy
Tb1 Tb 0.1200 0.0000 0.3188 1
Co1 Co 0.2295 0.0000 0.8922 1
Au1 Au 0.0787 0.5000 0.7710 1
```

=====

# 2
Computed, not measured: a relaxed BeTlGe3 crystal at the GGA-PBE level of DFT.

## Properties
E: -12.3 eV for the cell shown
ΔH_f (0 K): 1.5254 eV/atom
E above lowest polymorph: 1098 meV/atom
ρ: 4.7 g cm⁻³

The structure in CIF format:
```
data_BeTlGe3
_symmetry_space_group_name_H-M 'P m -3 m'
_symmetry_Int_Tables_number 221
_symmetry_space_group_name_Hall '-P 4 2 3'
_cell_length_a 5.3463
_cell_length_b 5.3463
_cell_length_c 5.3463
_cell_angle_alpha 90.00
_cell_angle_beta 90.00
_cell_angle_gamma 90.00
loop_
_atom_site_label
_atom_site_type_symbol
_atom_site_fract_x
_atom_site_fract_y
_atom_site_fract_z
_atom_site_occupancy
Be1 Be 0.0000 0.0000 0.0000 1
Tl1 Tl 0.5000 0.5000 0.5000 1
Ge1 Ge 0.0000 0.5000 0.5000 1
```

=====

# 3
Computed, not measured: a relaxed Cs3Cu2PdBr6 crystal at the GGA-PBE level of DFT.

## Properties
E: -36.9 eV for the cell shown
Formation energy (no corrections): -912 meV per atom
ρ: 3.7 g cm⁻³

The structure in CIF format:
```
data_Cs3Cu2PdBr6
_symmetry_space_group_name_H-M 'P -3 m 1'
_symmetry_Int_Tables_number 164
_symmetry_space_group_name_Hall '-P 3 2"'
_cell_length_a 7.8896
_cell_length_b 7.8896
_cell_length_c 9.2901
_cell_angle_alpha 90.00
_cell_angle_beta 90.00
_cell_angle_gamma 120.00
loop_
_atom_site_label
_atom_site_type_symbol
_atom_site_fract_x
_atom_site_fract_y
_atom_site_fract_z
_atom_site_occupancy
Cs1 Cs 0.0000 0.0000 0.0000 1
Cs2 Cs 0.3333 0.6667 0.6587 1
Cu1 Cu 0.3333 0.6667 0.2873 1
Pd1 Pd 0.0000 0.0000 0.5000 1
Br1 Br 0.1609 0.3218 0.3068 1
```

=====

# 4
Computed, not measured: a relaxed LiNpO2 crystal at the GGA-PBE level of DFT.

## Properties
E: -101.7 eV for the cell shown
Formation energy (no corrections): -2285 meV per atom
E above lowest polymorph: 0 meV/atom
ρ: 8.8 g cm⁻³

The structure in CIF format:
```
data_LiNpO2
_symmetry_space_group_name_H-M 'R -3 m'
_symmetry_Int_Tables_number 166
_symmetry_space_group_name_Hall '-R 3 2"'
_cell_length_a 3.4167
_cell_length_b 3.4167
_cell_length_c 15.4606
_cell_angle_alpha 90.00
_cell_angle_beta 90.00
_cell_angle_gamma 120.00
loop_
_atom_site_label
_atom_site_type_symbol
_atom_site_fract_x
_atom_site_fract_y
_atom_site_fract_z
_atom_site_occupancy
Li1 Li 0.0000 0.0000 0.0000 1
Np1 Np 0.0000 0.0000 0.5000 1
O1 O 0.0000 0.0000 0.2490 1
```